# Sm7Ho6Tm16 | Alexandria | PBE | optimized geometry
data_Sm7Ho6Tm16
_cell_length_a 15.476
_cell_length_b 15.476
_cell_length_c 15.476
_cell_angle_alpha 90.00
_cell_angle_beta 90.00
_cell_angle_gamma 90.00
_symmetry_space_group_name_H-M 'F m -3 m'
_symmetry_Int_Tables_number 225
_symmetry_space_group_name_Hall '-F 4 2 3'
loop_
_atom_site_label
_atom_site_type_symbol
_atom_site_fract_x
_atom_site_fract_y
_atom_site_fract_z
Sm1 Sm 0.000 0.000 0.000
Sm2 Sm 0.000 0.250 0.250
Ho1 Ho 0.000 0.000 0.224
Tm1 Tm 0.114 0.114 0.386
Tm2 Tm 0.149 0.149 0.149
# DOS(E_F)	1.80	states/eV per atom

# Sm6Ho5Tm2 | Alexandria | PBE | optimized geometry
data_Sm6Ho5Tm2
_cell_length_a 11.611
_cell_length_b 20.392
_cell_length_c 3.590
_cell_angle_alpha 90.00
_cell_angle_beta 90.00
_cell_angle_gamma 90.00
_symmetry_space_group_name_H-M 'P b a m'
_symmetry_Int_Tables_number 55
loop_
_symmetry_equiv_pos_as_xyz
'x,y,z'
'-x,-y,-z'
'-x,-y,z'
'x,y,-z'
'x+1/2,-y+1/2,-z'
'-x+1/2,y+1/2,z'
'-x+1/2,y+1/2,-z'
'x+1/2,-y+1/2,z'
loop_
_atom_site_label
_atom_site_type_symbol
_atom_site_fract_x
_atom_site_fract_y
_atom_site_fract_z
Sm1 Sm 0.060 0.081 0.000
Sm2 Sm 0.084 0.368 0.000
Sm3 Sm 0.172 0.636 0.500
Ho1 Ho 0.000 0.500 0.500
Ho2 Ho 0.092 0.227 0.500
Ho3 Ho 0.198 0.946 0.500
Tm1 Tm 0.166 0.790 0.000
# DOS(E_F)	1.16	states/eV per atom

# Sm2Ho12Tm | Alexandria | PBE | optimized geometry
data_Sm2Ho12Tm
_cell_length_a 6.424
_cell_length_b 6.424
_cell_length_c 24.501
_cell_angle_alpha 90.00
_cell_angle_beta 90.00
_cell_angle_gamma 90.00
_symmetry_space_group_name_H-M 'P 4/n b m'
_symmetry_Int_Tables_number 125
loop_
_symmetry_equiv_pos_as_xyz
'x,y,z'
'-x,-y,-z'
'-y+1/2,x,z'
'y+1/2,-x,-z'
'-x+1/2,-y+1/2,z'
'x+1/2,y+1/2,-z'
'y,-x+1/2,z'
'-y,x+1/2,-z'
'x,-y+1/2,-z'
'-x,y+1/2,z'
'-y+1/2,-x+1/2,-z'
'y+1/2,x+1/2,z'
'-x+1/2,y,-z'
'x+1/2,-y,z'
'y,x,-z'
'-y,-x,z'
loop_
_atom_site_label
_atom_site_type_symbol
_atom_site_fract_x
_atom_site_fract_y
_atom_site_fract_z
Sm1 Sm 0.250 0.750 0.242
Ho1 Ho 0.000 0.000 0.389
Ho2 Ho 0.081 0.581 0.061
Ho3 Ho 0.250 0.250 0.163
Ho4 Ho 0.250 0.250 0.289
Tm1 Tm 0.250 0.750 0.500
# DOS(E_F)	1.93	states/eV per atom

# Sm2Ho7Tm3 | Alexandria | PBE | optimized geometry
data_Sm2Ho7Tm3
_cell_length_a 6.286
_cell_length_b 3.492
_cell_length_c 17.288
_cell_angle_alpha 90.00
_cell_angle_beta 96.17
_cell_angle_gamma 90.00
_symmetry_space_group_name_H-M 'P 1 2/m 1'
_symmetry_Int_Tables_number 10
loop_
_symmetry_equiv_pos_as_xyz
'x,y,z'
'-x,-y,-z'
'-x,y,-z'
'x,-y,z'
loop_
_atom_site_label
_atom_site_type_symbol
_atom_site_fract_x
_atom_site_fract_y
_atom_site_fract_z
Sm1 Sm 0.061 0.000 0.173
Ho1 Ho 0.000 0.500 0.500
Ho2 Ho 0.227 0.000 0.668
Ho3 Ho 0.256 0.000 0.998
Ho4 Ho 0.275 0.500 0.336
Tm1 Tm 0.451 0.500 0.843
Tm2 Tm 0.500 0.000 0.500
# DOS(E_F)	1.44	states/eV per atom

# Sm6HoTm6 | Alexandria | PBE | optimized geometry
data_Sm6HoTm6
_cell_length_a 6.6844
_cell_length_b 6.6844
_cell_length_c 11.3139
_cell_angle_alpha 90.00
_cell_angle_beta 90.00
_cell_angle_gamma 120.00
_symmetry_space_group_name_H-M 'P 6/m m m'
_symmetry_Int_Tables_number 191
_symmetry_space_group_name_Hall '-P 6 2'
loop_
_atom_site_label
_atom_site_type_symbol
_atom_site_fract_x
_atom_site_fract_y
_atom_site_fract_z
Sm1 Sm 0.0000 0.0000 0.1588
Sm2 Sm 0.3333 0.6667 0.0000
Sm3 Sm 0.3333 0.6667 0.5000
Ho1 Ho 0.0000 0.0000 0.5000
Tm1 Tm 0.0000 0.5000 0.2559
# DOS(E_F)	1.93	states/eV per atom

# SmHo2Tm2 | Alexandria | PBE | optimized geometry
data_SmHo2Tm2
_cell_length_a 9.275
_cell_length_b 9.275
_cell_length_c 3.686
_cell_angle_alpha 90.00
_cell_angle_beta 90.00
_cell_angle_gamma 90.00
_symmetry_space_group_name_H-M 'P 4/m b m'
_symmetry_Int_Tables_number 127
_symmetry_space_group_name_Hall '-P 4 2ab'
loop_
_atom_site_label
_atom_site_type_symbol
_atom_site_fract_x
_atom_site_fract_y
_atom_site_fract_z
Sm1 Sm 0.000 0.000 0.000
Ho1 Ho 0.126 0.374 0.000
Tm1 Tm 0.171 0.671 0.500
# offset from the most stable computed form	0.000	kcal/mol of atoms
# DOS(E_F)	0.95	states/eV per atom

# Sm5Ho5Tm2 | Alexandria | PBE | optimized geometry
data_Sm5Ho5Tm2
_cell_length_a 15.090
_cell_length_b 5.030
_cell_length_c 11.275
_cell_angle_alpha 90.00
_cell_angle_beta 116.54
_cell_angle_gamma 90.00
_symmetry_space_group_name_H-M 'C 1 2/m 1'
_symmetry_Int_Tables_number 12
loop_
_symmetry_equiv_pos_as_xyz
'x,y,z'
'-x,-y,-z'
'-x,y,-z'
'x,-y,z'
'x+1/2,y+1/2,z'
'-x+1/2,-y+1/2,-z'
'-x+1/2,y+1/2,-z'
'x+1/2,-y+1/2,z'
loop_
_atom_site_label
_atom_site_type_symbol
_atom_site_fract_x
_atom_site_fract_y
_atom_site_fract_z
Sm1 Sm 0.000 0.000 0.000
Sm2 Sm 0.083 0.000 0.750
Sm3 Sm 0.166 0.000 0.499
Ho1 Ho 0.000 0.500 0.500
Ho2 Ho 0.167 0.500 0.001
Ho3 Ho 0.249 0.000 0.248
Tm1 Tm 0.084 0.500 0.249
# DOS(E_F)	1.44	states/eV per atom

# SmHo2Tm7 | Alexandria | PBE | optimized geometry
data_SmHo2Tm7
_cell_length_a 8.660
_cell_length_b 16.434
_cell_length_c 5.362
_cell_angle_alpha 90.00
_cell_angle_beta 90.00
_cell_angle_gamma 90.00
_symmetry_space_group_name_H-M 'C m m m'
_symmetry_Int_Tables_number 65
_symmetry_space_group_name_Hall '-C 2 2'
loop_
_atom_site_label
_atom_site_type_symbol
_atom_site_fract_x
_atom_site_fract_y
_atom_site_fract_z
Sm1 Sm 0.000 0.000 0.000
Ho1 Ho 0.000 0.299 0.500
Tm1 Tm 0.000 0.205 0.000
Tm2 Tm 0.000 0.500 0.500
Tm3 Tm 0.177 0.113 0.500
# offset from the most stable computed form	16.014	kcal/mol of atoms
# DOS(E_F)	1.52	states/eV per atom

# SmHo12Tm7 | Alexandria | PBE | optimized geometry
data_SmHo12Tm7
_cell_length_a 11.229
_cell_length_b 11.229
_cell_length_c 11.229
_cell_angle_alpha 90.00
_cell_angle_beta 90.00
_cell_angle_gamma 90.00
_symmetry_space_group_name_H-M 'I m -3'
_symmetry_Int_Tables_number 204
_symmetry_space_group_name_Hall '-I 2 2 3'
loop_
_atom_site_label
_atom_site_type_symbol
_atom_site_fract_x
_atom_site_fract_y
_atom_site_fract_z
Sm1 Sm 0.000 0.000 0.000
Ho1 Ho 0.000 0.257 0.256
Tm1 Tm 0.000 0.000 0.500
Tm2 Tm 0.250 0.250 0.250
# offset from the most stable computed form	9.689	kcal/mol of atoms
# DOS(E_F)	1.21	states/eV per atom

# Sm12HoTm7 | Alexandria | PBE | optimized geometry
data_Sm12HoTm7
_cell_length_a 19.5255
_cell_length_b 19.5255
_cell_length_c 6.1325
_cell_angle_alpha 90.00
_cell_angle_beta 90.00
_cell_angle_gamma 120.00
_symmetry_space_group_name_H-M 'R -3'
_symmetry_Int_Tables_number 148
_symmetry_space_group_name_Hall '-R 3'
loop_
_atom_site_label
_atom_site_type_symbol
_atom_site_fract_x
_atom_site_fract_y
_atom_site_fract_z
Sm1 Sm 0.0003 0.4138 0.0001
Sm2 Sm 0.0982 0.5494 0.4633
Ho1 Ho 0.0000 0.0000 0.5000
Tm1 Tm 0.0000 0.0000 0.0000
Tm2 Tm 0.0815 0.1623 0.2936
# offset from the most stable computed form	0.000	kcal/mol of atoms
# DOS(E_F)	1.42	states/eV per atom

# SmHo6Tm4 | Alexandria | PBE | optimized geometry
data_SmHo6Tm4
_cell_length_a 6.501
_cell_length_b 6.501
_cell_length_c 16.964
_cell_angle_alpha 90.00
_cell_angle_beta 90.00
_cell_angle_gamma 90.00
_symmetry_space_group_name_H-M 'I -4 2 m'
_symmetry_Int_Tables_number 121
_symmetry_space_group_name_Hall 'I -4 2'
loop_
_atom_site_label
_atom_site_type_symbol
_atom_site_fract_x
_atom_site_fract_y
_atom_site_fract_z
Sm1 Sm 0.000 0.000 0.000
Ho1 Ho 0.000 0.500 0.000
Ho2 Ho 0.187 0.187 0.173
Tm1 Tm 0.180 0.180 0.368
# offset from the most stable computed form	4.531	kcal/mol of atoms
# DOS(E_F)	1.36	states/eV per atom

# Sm5Ho3Tm3 | Alexandria | PBE | optimized geometry
data_Sm5Ho3Tm3
_cell_length_a 11.1646
_cell_length_b 11.1646
_cell_length_c 3.4299
_cell_angle_alpha 90.00
_cell_angle_beta 90.00
_cell_angle_gamma 120.00
_symmetry_space_group_name_H-M 'P -6 2 m'
_symmetry_Int_Tables_number 189
_symmetry_space_group_name_Hall 'P -6 -2'
loop_
_atom_site_label
_atom_site_type_symbol
_atom_site_fract_x
_atom_site_fract_y
_atom_site_fract_z
Sm1 Sm 0.0000 0.6613 0.0000
Sm2 Sm 0.3333 0.6667 0.0000
Ho1 Ho 0.0000 0.4046 0.5000
Tm1 Tm 0.0000 0.1592 0.0000
# offset from the most stable computed form	0.000	kcal/mol of atoms
# DOS(E_F)	1.48	states/eV per atom

Number 1: total DFT energy (no corrections) -505.9 eV for the cell shown, formation energy 0.192 eV per atom. Number 2: total DFT energy (no corrections) -117.6 eV for the cell shown, formation energy 0.103 eV per atom. Number 3: total DFT energy (no corrections) -126.4 eV for the cell shown, formation energy 0.376 eV per atom. Number 4: total DFT energy (no corrections) -54.0 eV for the cell shown, formation energy 0.078 eV per atom. Number 5: total DFT energy (no corrections) -56.2 eV for the cell shown, formation energy 0.272 eV per atom. Number 6: total DFT energy (no corrections) -44.8 eV for the cell shown, formation energy 0.084 eV per atom. Number 7: total DFT energy (no corrections) -110.4 eV for the cell shown, formation energy 0.019 eV per atom. Number 8: total DFT energy (no corrections) -76.0 eV for the cell shown, formation energy 0.718 eV per atom. Number 9: total DFT energy (no corrections) -152.6 eV for the cell shown, formation energy 0.732 eV per atom. Number 10: total DFT energy (no corrections) -262.3 eV for the cell shown, formation energy 0.254 eV per atom. Number 11: total DFT energy (no corrections) -93.1 eV for the cell shown, formation energy 0.322 eV per atom. Number 12: total DFT energy (no corrections) -47.1 eV for the cell shown, formation energy 0.331 eV per atom.